(1)
8
Lattice="4.5955 0.0000 0.0000 -2.2977 3.9798 0.0000 0.0000 0.0000 9.0056" Properties=species:S:1:pos:R:3 comment="PrYIn2Ir4 PBE relaxed" final_energy_ev_per_cell=-55.0 volume_a3_per_atom=20.6 rho_kg_m3=12384 spacegroup="P-6m2 (187)" pbc="T T T"
Pr 0.0000 0.0000 0.0000
Y 0.0000 2.6532 4.5028
In 2.2977 1.3266 2.2960
In 2.2977 1.3266 6.7096
Ir 0.0000 0.0000 3.1988
Ir 0.0000 0.0000 5.8068
Ir 0.0000 2.6532 1.5097
Ir 0.0000 2.6532 7.4959

---

(2)
9
Lattice="5.0171 0.0000 0.0000 -2.5086 4.3449 0.0000 0.0000 0.0000 11.6753" Properties=species:S:1:pos:R:3 comment="Sr2Li3NdPb3 PBE relaxed" final_energy_ev_per_cell=-29.4 volume_a3_per_atom=28.3 rho_kg_m3=6276 spacegroup="P-6m2 (187)" pbc="T T T"
Sr 0.0000 0.0000 1.9185
Sr 0.0000 0.0000 9.7568
Li 0.0000 2.8966 0.0000
Li 2.5086 1.4483 3.7741
Li 2.5086 1.4483 7.9012
Nd 0.0000 0.0000 5.8377
Pb 0.0000 2.8966 4.1789
Pb 0.0000 2.8966 7.4964
Pb 2.5086 1.4483 0.0000

---

(3)
9
Lattice="4.1084 0.0000 0.0000 0.0000 6.5742 3.7921 0.0000 -6.5742 3.7921" Properties=species:S:1:pos:R:3 comment="PrNd2Mg3Ir2Au PBE relaxed" final_energy_ev_per_cell=-45.5 volume_a3_per_atom=22.8 rho_kg_m3=8785 spacegroup="Amm2 (38)" pbc="T T T"
Pr 0.0000 0.0000 0.0000
Nd 0.0000 -2.7612 2.8026
Nd 0.0000 2.7612 2.8026
Mg 2.0542 0.0000 2.5043
Mg 2.0542 -1.6467 5.3390
Mg 2.0542 1.6467 5.3390
Ir 2.0542 -4.3698 4.3998
Ir 2.0542 4.3698 4.3998
Au 0.0000 0.0000 4.3874

---

(4)
3
Lattice="0.0000 3.2439 3.2439 3.2439 0.0000 3.2439 3.2439 3.2439 0.0000" Properties=species:S:1:pos:R:3 comment="PaAgMo PBE relaxed" volume_a3_per_atom=22.8 rho_kg_m3=10577 formation_energy_kj_per_mol_atoms=103.49 de_polymorph_ev_per_atom=0.3420 spacegroup="F-43m (216)" pbc="T T T"
Pa 0.0000 0.0000 0.0000
Ag 4.8659 4.8659 4.8659
Mo 1.6220 1.6220 1.6220

---

(5)
16
Lattice="5.6911 0.0000 0.0000 0.0000 7.6946 0.0000 0.0000 0.0000 5.6818" Properties=species:S:1:pos:R:3 comment="PaAsNO PBE relaxed" volume_a3_per_atom=15.6 rho_kg_m3=8969 de_polymorph_ev_per_atom=0.0252 spacegroup="Pca2_1 (29)" pbc="T T T"
Pa 0.0043 1.2234 0.0000
Pa 2.8413 1.2234 2.8409
Pa 2.8498 6.4712 0.0000
Pa 5.6868 6.4712 2.8409
As 0.0237 5.1723 0.0042
As 2.8218 5.1723 2.8451
As 2.8693 2.5223 0.0042
As 5.6674 2.5223 2.8451
N 1.4224 7.6945 1.4190
N 1.4232 7.6945 4.2600
N 4.2679 0.0000 1.4190
N 4.2687 0.0000 4.2600
O 0.0295 3.4101 0.0076
O 2.8160 3.4101 2.8485
O 2.8751 4.2845 0.0076
O 5.6616 4.2845 2.8485

---

(6)
3
Lattice="0.0000 3.6086 3.6086 3.6086 0.0000 3.6086 3.6086 3.6086 0.0000" Properties=species:S:1:pos:R:3 comment="PrSbAs PBE relaxed" final_energy_ev_per_cell=-14.4 volume_a3_per_atom=31.3 rho_kg_m3=5965 spacegroup="F-43m (216)" pbc="T T T"
Pr 0.0000 0.0000 0.0000
Sb 5.4129 5.4129 5.4129
As 3.6086 3.6086 3.6086

---

(7)
12
Lattice="1.9331 -8.2823 0.0000 1.9331 8.2823 0.0000 0.0000 0.0000 9.8766" Properties=species:S:1:pos:R:3 comment="RbCuTcTe2S PBE relaxed" final_energy_ev_per_cell=-54.2 volume_a3_per_atom=26.4 rho_kg_m3=5611 spacegroup="Cmcm (63)" pbc="T T T"
Rb 1.9331 4.3204 7.4075
Rb 1.9331 -4.3204 2.4692
Cu 1.9331 7.9066 2.4692
Cu 1.9331 -7.9066 7.4075
Tc 1.9331 0.0000 0.0000
Tc 1.9331 0.0000 4.9383
Te 1.9331 6.3548 0.4087
Te 1.9331 6.3548 4.5296
Te 1.9331 -6.3548 5.3470
Te 1.9331 -6.3548 9.4679
S 1.9331 0.8546 2.4692
S 1.9331 -0.8546 7.4075

---

(8)
3
Lattice="0.0000 3.7029 3.7029 3.7029 0.0000 3.7029 3.7029 3.7029 0.0000" Properties=species:S:1:pos:R:3 comment="SrPuPa PBE relaxed" volume_a3_per_atom=33.8 rho_kg_m3=9201 de_polymorph_ev_per_atom=0.0000 spacegroup="F-43m (216)" pbc="T T T"
Sr 0.0000 0.0000 0.0000
Pu 5.5544 5.5544 5.5544
Pa 3.7029 3.7029 3.7029

---

(9)
10
Lattice="5.6762 -2.0744 0.0000 5.6762 2.0744 0.0000 -0.2433 0.0000 6.6914" Properties=species:S:1:pos:R:3 comment="LaBe3Pt PBE relaxed" final_energy_ev_per_cell=-49.3 volume_a3_per_atom=15.8 rho_kg_m3=7609 spacegroup="C2/m (12)" pbc="T T T"
La 1.5350 0.0000 0.9958
La 9.5741 0.0000 5.6956
Be 5.5545 1.0090 3.3457
Be 3.4997 0.0000 3.3646
Be 4.7791 0.0000 1.5286
Be 6.3300 0.0000 5.1628
Be 7.6094 0.0000 3.3268
Be 5.5545 -1.0090 3.3457
Pt 1.5521 0.0000 4.5830
Pt 9.5570 0.0000 2.1083

---

(10)
2
Lattice="4.1461 0.0000 0.0000 0.0000 4.1461 0.0000 0.0000 0.0000 3.3475" Properties=species:S:1:pos:R:3 comment="PuBi PBE relaxed" final_energy_ev_per_cell=-19.1 volume_a3_per_atom=28.8 rho_kg_m3=13071 spacegroup="P4/mmm (123)" pbc="T T T"
Pu 0.0000 0.0000 0.0000
Bi 2.0731 2.0731 1.6738

---

(11)
5
Lattice="4.4658 0.0000 0.0000 0.0000 4.4658 0.0000 0.0000 0.0000 4.4658" Properties=species:S:1:pos:R:3 comment="DyNb3C PBE relaxed" final_energy_ev_per_cell=-44.0 volume_a3_per_atom=17.8 rho_kg_m3=8450 spacegroup="Pm-3m (221)" pbc="T T T"
Dy 0.0000 0.0000 0.0000
Nb 0.0000 2.2329 2.2329
Nb 2.2329 0.0000 2.2329
Nb 2.2329 2.2329 0.0000
C 2.2329 2.2329 2.2329

---

(12)
6
Lattice="4.9691 0.0000 0.0000 -2.4846 4.3034 0.0000 0.0000 0.0000 9.0201" Properties=species:S:1:pos:R:3 comment="BaSrAg2Bi2 PBE relaxed" final_energy_ev_per_cell=-21.2 volume_a3_per_atom=32.1 rho_kg_m3=7392 spacegroup="P3m1 (156)" pbc="T T T"
Ba 0.0000 0.0000 0.0000
Sr 0.0000 0.0000 4.5217
Ag 0.0000 2.8689 2.3323
Ag 2.4846 1.4345 6.5409
Bi 0.0000 2.8689 6.7382
Bi 2.4846 1.4345 2.3779

---

(13)
12
Lattice="1.9561 -6.9465 0.0000 1.9561 6.9465 0.0000 0.0000 0.0000 10.9133" Properties=species:S:1:pos:R:3 comment="GdMgTeAuSe2 PBE relaxed" final_energy_ev_per_cell=-51.0 volume_a3_per_atom=24.7 rho_kg_m3=7436 spacegroup="Cmcm (63)" pbc="T T T"
Gd 0.0000 0.0000 0.0000
Gd 0.0000 0.0000 5.4566
Mg 1.9561 4.2502 8.1850
Mg 1.9561 -4.2502 2.7283
Te 1.9561 5.2271 2.7283
Te 1.9561 -5.2271 8.1850
Au 1.9561 0.2931 2.7283
Au 1.9561 -0.2931 8.1850
Se 1.9561 2.0331 0.7514
Se 1.9561 2.0331 4.7053
Se 1.9561 -2.0331 6.2080
Se 1.9561 -2.0331 10.1619

---

(14)
3
Lattice="0.0000 3.1334 3.1334 3.1334 0.0000 3.1334 3.1334 3.1334 0.0000" Properties=species:S:1:pos:R:3 comment="PrBePt PBE relaxed" volume_a3_per_atom=20.5 rho_kg_m3=9311 de_polymorph_ev_per_atom=0.0144 spacegroup="F-43m (216)" pbc="T T T"
Pr 0.0000 0.0000 0.0000
Be 1.5667 1.5667 1.5667
Pt 3.1334 3.1334 3.1334

---

(15)
4
Lattice="0.0000 3.5541 3.5541 3.5541 0.0000 3.5541 3.5541 3.5541 0.0000" Properties=species:S:1:pos:R:3 comment="HfBeTe2 PBE relaxed" final_energy_ev_per_cell=-17.6 volume_a3_per_atom=22.4 rho_kg_m3=8187 spacegroup="F-43m (216)" pbc="T T T"
Hf 0.0000 0.0000 0.0000
Be 5.3311 5.3311 5.3311
Te 1.7770 1.7770 1.7770
Te 3.5541 3.5541 3.5541

---

(16)
3
Lattice="0.0000 3.0934 3.0934 3.0934 0.0000 3.0934 3.0934 3.0934 0.0000" Properties=species:S:1:pos:R:3 comment="PmBePt PBE relaxed" volume_a3_per_atom=19.7 rho_kg_m3=9792 de_polymorph_ev_per_atom=0.0157 spacegroup="F-43m (216)" pbc="T T T"
Pm 0.0000 0.0000 0.0000
Be 1.5467 1.5467 1.5467
Pt 3.0934 3.0934 3.0934

---

(17)
10
Lattice="4.9536 0.0000 0.0000 -2.4768 4.2899 0.0000 0.0000 0.0000 7.2874" Properties=species:S:1:pos:R:3 comment="NbCdHg2F6 PBE relaxed" final_energy_ev_per_cell=-43.5 volume_a3_per_atom=15.5 rho_kg_m3=7726 spacegroup="P-31m (162)" pbc="T T T"
Nb 0.0000 0.0000 0.0000
Cd 0.0000 0.0000 3.6437
Hg 0.0000 2.8599 3.6437
Hg 2.4768 1.4300 3.6437
F -0.7776 1.3468 6.1366
F -1.6992 2.9431 1.1508
F 1.5552 0.0000 6.1366
F 0.7776 1.3468 1.1508
F 3.3984 0.0000 1.1508
F 1.6992 2.9431 6.1366

---

(18)
3
Lattice="0.0000 3.3738 3.3738 3.3738 0.0000 3.3738 3.3738 3.3738 0.0000" Properties=species:S:1:pos:R:3 comment="SrCdCo PBE relaxed" final_energy_ev_per_cell=-8.5 volume_a3_per_atom=25.6 rho_kg_m3=5599 spacegroup="F-43m (216)" pbc="T T T"
Sr 0.0000 0.0000 0.0000
Cd 3.3738 3.3738 3.3738
Co 5.0607 5.0607 5.0607

---

(19)
8
Lattice="4.3281 0.0000 0.0000 0.0000 4.3281 0.0000 0.0000 0.0000 7.1044" Properties=species:S:1:pos:R:3 comment="SmSiPO PBE relaxed" volume_a3_per_atom=16.6 rho_kg_m3=5625 de_polymorph_ev_per_atom=0.0329 spacegroup="P4/nmm (129)" pbc="T T T"
Sm 1.0820 1.0820 0.9579
Sm 3.2461 3.2461 6.1465
Si 1.0820 3.2461 3.5522
Si 3.2461 1.0820 3.5522
P 1.0820 1.0820 4.4874
P 3.2461 3.2461 2.6170
O 1.0820 3.2461 0.0000
O 3.2461 1.0820 0.0000

---

(20)
4
Lattice="0.0000 4.0239 4.0239 4.0239 0.0000 4.0239 4.0239 4.0239 0.0000" Properties=species:S:1:pos:R:3 comment="CsLiBiAu PBE relaxed" volume_a3_per_atom=32.6 rho_kg_m3=6955 de_polymorph_ev_per_atom=0.2253 spacegroup="F-43m (216)" pbc="T T T"
Cs 0.0000 0.0000 0.0000
Li 4.0239 4.0239 4.0239
Bi 6.0358 6.0358 6.0358
Au 2.0119 2.0119 2.0119